# TbPm6Ga2 | Alexandria via LeMat-Bulk | PBE | relaxed
# Total energy ... -82.72 eV per cell
# M_tot ... 0.000 μB per formula unit
# Formation energy ... -5.6 kcal/mol of atoms
# Theoretical density ... 7.2 g/cm³
data_TbPm6Ga2
_space_group_name_H-M_alt 'C 1 2/m 1'
_space_group_IT_number 12
_cell_length_a 12.7839
_cell_length_b 3.7397
_cell_length_c 12.0067
_cell_angle_alpha 90.00
_cell_angle_beta 109.68
_cell_angle_gamma 90.00
loop_
_space_group_symop_operation_xyz
'x,y,z'
'-x,-y,-z'
'-x,y,-z'
'x,-y,z'
'x+1/2,y+1/2,z'
'-x+1/2,-y+1/2,-z'
'-x+1/2,y+1/2,-z'
'x+1/2,-y+1/2,z'
loop_
_atom_site_label
_atom_site_type_symbol
_atom_site_fract_x
_atom_site_fract_y
_atom_site_fract_z
Tb1 Tb 0.0000 0.0000 0.0000
Pm1 Pm 0.0268 0.0000 0.3245
Pm2 Pm 0.1894 0.5000 0.8753
Pm3 Pm 0.1899 0.5000 0.5924
Ga1 Ga 0.1447 0.5000 0.1956